Entry 1:
{
  "formula": "Er4AlAg2Hg",
  "functional": "PBE",
  "state": "relaxed",
  "e_form_mev_per_atom": -385,
  "lattice_angstrom": [[2.5632, 1.4799, 8.3844], [-2.5632, 1.4799, 8.3844], [0.0000, -2.9598, 8.3844]],
  "species": ["Er", "Er", "Er", "Er", "Al", "Ag", "Ag", "Hg"],
  "fractional_positions": [[0.1244, 0.1244, 0.1244], [0.3745, 0.3745, 0.3745], [0.6255, 0.6255, 0.6255], [0.8756, 0.8756, 0.8756], [0.0000, 0.0000, 0.0000], [0.2529, 0.2529, 0.2529], [0.7471, 0.7471, 0.7471], [0.5000, 0.5000, 0.5000]]
}

=====

Entry 2:
{
  "formula": "MoPb2Br8",
  "functional": "PBE",
  "state": "relaxed",
  "raw_formation_energy_kj_per_mol_atoms": -62.58,
  "lattice_angstrom": [[7.0161, -3.5011, 0.0000], [7.0161, 3.5011, 0.0000], [-1.5292, 0.0000, 8.7583]],
  "species": ["Mo", "Pb", "Pb", "Br", "Br", "Br", "Br", "Br", "Br", "Br", "Br"],
  "fractional_positions": [[0.0000, 0.0000, 0.0000], [0.1410, 0.1410, 0.4061], [0.8590, 0.8590, 0.5939], [0.0907, 0.0907, 0.7745], [0.1336, 0.6320, 0.8646], [0.3417, 0.3417, 0.4636], [0.3680, 0.8664, 0.1354], [0.6320, 0.1336, 0.8646], [0.6583, 0.6583, 0.5364], [0.8664, 0.3680, 0.1354], [0.9093, 0.9093, 0.2255]]
}

=====

Entry 3:
{
  "formula": "K3Pa2Se3O4",
  "functional": "PBE",
  "state": "relaxed",
  "raw_formation_energy_kj_per_mol_atoms": -208.82,
  "lattice_angstrom": [[-2.1446, 2.8665, 12.5918], [2.1446, -2.8665, 12.5918], [2.1446, 2.8665, -12.5918]],
  "species": ["K", "K", "K", "Pa", "Pa", "Se", "Se", "Se", "O", "O", "O", "O"],
  "fractional_positions": [[0.0000, 0.0000, 0.0000], [0.2010, 0.2010, 0.0000], [0.7990, 0.7990, 0.0000], [0.3823, 0.3823, 0.0000], [0.6177, 0.6177, 0.0000], [0.1027, 0.6027, 0.5000], [0.5000, 0.5000, 0.0000], [0.8973, 0.3973, 0.5000], [0.3045, 0.3045, 0.0000], [0.3828, 0.8828, 0.5000], [0.6172, 0.1172, 0.5000], [0.6955, 0.6955, 0.0000]]
}

=====

Entry 4:
{
  "formula": "Al2ZnP",
  "functional": "PBE",
  "state": "relaxed",
  "e_form_mev_per_atom": 97,
  "e_above_lowest_polymorph_ev_per_atom": 0.078,
  "lattice_angstrom": [[5.5303, -1.3318, 0.0000], [5.5303, 1.3318, 0.0000], [-2.0115, 0.0000, 4.3921]],
  "species": ["Al", "Al", "Zn", "P"],
  "fractional_positions": [[0.0000, 0.0000, 0.0000], [0.2465, 0.2465, 0.7354], [0.4800, 0.4800, 0.4789], [0.7223, 0.7223, 0.2130]]
}

=====

Entry 5:
{
  "formula": "Pr2LuPt",
  "functional": "PBE",
  "state": "relaxed",
  "e_form_mev_per_atom": -445,
  "lattice_angstrom": [[3.7501, 0.0000, 0.0000], [0.0000, 3.7501, 0.0000], [0.0000, 0.0000, 8.1191]],
  "species": ["Pr", "Pr", "Lu", "Pt"],
  "fractional_positions": [[0.0000, 0.0000, 0.2079], [0.0000, 0.0000, 0.7921], [0.5000, 0.5000, 0.5000], [0.5000, 0.5000, 0.0000]]
}

=====

Entry 6:
{
  "formula": "AcMgCuRh",
  "functional": "PBE",
  "state": "relaxed",
  "e_form_mev_per_atom": -205,
  "e_above_lowest_polymorph_ev_per_atom": 0.188,
  "lattice_angstrom": [[0.0000, 3.5259, 3.5259], [3.5259, 0.0000, 3.5259], [3.5259, 3.5259, 0.0000]],
  "species": ["Ac", "Mg", "Cu", "Rh"],
  "fractional_positions": [[0.0000, 0.0000, 0.0000], [0.5000, 0.5000, 0.5000], [0.2500, 0.2500, 0.2500], [0.7500, 0.7500, 0.7500]]
}

=====

Entry 7:
{
  "formula": "KRb2TlSe",
  "functional": "PBE",
  "state": "relaxed",
  "raw_formation_energy_kj_per_mol_atoms": -40.64,
  "lattice_angstrom": [[6.6516, 0.0000, 0.0000], [0.0000, 6.6516, 0.0000], [0.0000, 0.0000, 6.2834]],
  "species": ["K", "Rb", "Rb", "Tl", "Se"],
  "fractional_positions": [[0.0000, 0.0000, 0.0000], [0.0000, 0.5000, 0.5000], [0.5000, 0.0000, 0.5000], [0.5000, 0.5000, 0.0000], [0.0000, 0.0000, 0.5000]]
}

=====

Entry 8:
{
  "formula": "RbGa2Ag2",
  "functional": "PBE",
  "state": "relaxed",
  "e_form_mev_per_atom": 45,
  "e_above_lowest_polymorph_ev_per_atom": 0.057,
  "lattice_angstrom": [[-2.3337, 2.3337, 5.8285], [2.3337, -2.3337, 5.8285], [2.3337, 2.3337, -5.8285]],
  "species": ["Rb", "Ga", "Ga", "Ag", "Ag"],
  "fractional_positions": [[0.0000, 0.0000, 0.0000], [0.2500, 0.7500, 0.5000], [0.7500, 0.2500, 0.5000], [0.3713, 0.3713, 0.0000], [0.6287, 0.6287, 0.0000]]
}